# 1
# Sm5HSe4

An optimized crystal structure of Sm5HSe4 (PBE, Alexandria).

Cell lengths 14.5996, 14.5996, 14.5996 Å; angles 163.73, 163.73, 23.09 degrees
Closest atoms and distances in Å follow each position.
Element x y z (fractional)
Sm 0.0000 0.0000 0.0000  2 Se 2.86, 4 H 2.92
Sm 0.2004 0.2004 0.0000  6 Se 2.87-2.99
Sm 0.4124 0.4124 0.0000  1 H 2.51
Sm 0.5876 0.5876 0.0000  1 H 2.51
Sm 0.7996 0.7996 0.0000  6 Se 2.87-2.99
H 0.5000 0.5000 0.0000  2 Sm 2.51
Se 0.1001 0.1001 0.0000  6 Sm 2.86-2.94
Se 0.3049 0.3049 0.0000  6 Sm 2.93-3.07
Se 0.6951 0.6951 0.0000  6 Sm 2.93-3.07
Se 0.8999 0.8999 0.0000  6 Sm 2.86-2.94

## Properties
Calculated density, Mg/m³: 7.268
Magnetic moment, μB per formula unit: 0.00
SG: I4/mmm (139)
Energy, eV per atom: -5.56


# 2
# SmSn2HSe4

An optimized crystal structure of SmSn2HSe4 (PBE, Alexandria).

Cell lengths 7.3243, 4.0946, 7.3519 Å; angles 90.00, 108.21, 90.00 degrees
Closest atoms and distances in Å follow each position.
Element x y z (fractional)
Sm 0.0000 0.0000 0.0000  6 Se 2.92-2.93
Sn 0.0000 0.5000 0.5000  6 Se 2.89-2.92
Sn 0.5000 0.0000 0.5000  6 Se 3.02
H 0.5000 0.5000 0.0000  6 Se 3.02-3.06
Se 0.2324 0.0000 0.7400  3 Sn 2.89-3.02, 1 Sm 2.93, 2 H 3.06
Se 0.2382 0.5000 0.2467  3 Sn 2.92-3.02, 2 Sm 2.92, 1 H 3.02
Se 0.7618 0.5000 0.7533  3 Sn 2.92-3.02, 2 Sm 2.92, 1 H 3.02
Se 0.7676 0.0000 0.2600  3 Sn 2.89-3.02, 1 Sm 2.93, 2 H 3.06

## Properties
Calculated density, Mg/m³: 5.587
Magnetic moment, μB per formula unit: 0.62
SG: P2/m (10)
Energy, eV per atom: -4.24